Record 1
A geometry-optimized Y3Cd3Ag2 structure. Source: the Alexandria database, functional PBE.

POSCAR file:
```
Y3Cd3Ag2
1.0
7.6862 0.0000 0.0000
-3.8431 6.6564 0.0000
0.0000 0.0000 3.8769
Y Cd Ag
3 3 2
direct
0.0000 0.5920 0.0000
0.4080 0.4080 0.0000
0.5920 0.0000 0.0000
0.0000 0.2307 0.5000
0.2307 0.0000 0.5000
0.7693 0.7693 0.5000
0.3333 0.6667 0.5000
0.6667 0.3333 0.5000
```

Output
**Space group**: P-62m (189)
**Calculated formation energy**: -0.307 eV per atom


Record 2
A geometry-optimized CsCdHg17 structure. Source: the Alexandria database, functional PBE.

POSCAR file:
```
CsCdHg17
1.0
5.4514 3.1473 5.6035
-5.4514 3.1473 5.6035
0.0000 -6.2947 5.6035
Cs Cd Hg
1 1 17
direct
0.0000 0.0000 0.0000
0.3523 0.3523 0.3523
0.0884 0.0884 0.4182
0.0884 0.4182 0.0884
0.1205 0.6913 0.6913
0.3128 0.3128 0.7527
0.3128 0.7527 0.3128
0.3659 0.6552 0.9571
0.3659 0.9571 0.6552
0.4182 0.0884 0.0884
0.5510 0.5510 0.5510
0.6552 0.3658 0.9571
0.6552 0.9571 0.3659
0.6913 0.1205 0.6913
0.6913 0.6913 0.1205
0.7385 0.7385 0.7385
0.7527 0.3128 0.3128
0.9571 0.3659 0.6552
0.9571 0.6552 0.3659
```

Output
**Space group**: R3m (160)
**Calculated formation energy**: -0.053 eV per atom


Record 3
A geometry-optimized Pu2FeSn structure. Source: the Alexandria database, functional PBE.

POSCAR file:
```
Pu2FeSn
1.0
3.6193 0.0000 0.0000
0.0000 3.6193 0.0000
0.0000 0.0000 5.2216
Pu Fe Sn
2 1 1
direct
0.0000 0.5000 0.0000
0.5000 0.0000 0.0000
0.0000 0.0000 0.5000
0.5000 0.5000 0.5000
```

Output
**Space group**: P4/mmm (123)
**E above lowest polymorph**: 384 meV per atom
**Calculated formation energy**: 0.334 eV per atom